(1)
! HfTe2Au | Alexandria | SCAN | PBEsol geometry; values from VASP
&SYSTEM
  ibrav = 0, nat = 4, ntyp = 3
/
ATOMIC_SPECIES
Hf 178.49 Hf.upf
Te 127.60 Te.upf
Au 196.97 Au.upf
ATOMIC_POSITIONS crystal
Hf 0.000 0.000 0.000
Te 0.250 0.250 0.250
Te 0.750 0.750 0.750
Au 0.500 0.500 0.500
CELL_PARAMETERS angstrom
-2.453 4.273 0.960
-1.949 0.806 4.555
2.043 3.441 3.031
! formation energy (no corrections): -0.105 eV/atom
! final energy: -51.688 eV/atom

=====

(2)
! Mg2CoIr | Alexandria | SCAN | PBEsol geometry; values from VASP
&SYSTEM
  ibrav = 0, nat = 4, ntyp = 3
/
ATOMIC_SPECIES
Co 58.93 Co.upf
Ir 192.22 Ir.upf
Mg 24.30 Mg.upf
ATOMIC_POSITIONS crystal
Co 0.500 0.500 0.000
Ir 0.000 0.000 0.000
Mg 0.750 0.250 0.500
Mg 0.250 0.750 0.500
CELL_PARAMETERS angstrom
-3.806 0.221 -0.693
-0.569 -3.203 2.105
1.740 3.637 2.438
! final energy: -24.804 eV/atom
! ΔE_f: -0.217 eV/atom

=====

(3)
! SrHgPO2 | Alexandria | SCAN | PBEsol geometry; values from VASP
&SYSTEM
  ibrav = 0, nat = 5, ntyp = 4
/
ATOMIC_SPECIES
Sr 87.62 Sr.upf
Hg 200.59 Hg.upf
O 16.00 O.upf
P 30.97 P.upf
ATOMIC_POSITIONS crystal
Sr 0.000 0.000 0.000
Hg 0.500 0.500 0.500
O 0.000 0.500 0.000
O 0.500 0.000 0.000
P 0.000 0.000 0.500
CELL_PARAMETERS angstrom
4.397 0.000 0.000
0.000 4.397 0.000
0.000 0.000 6.291
! formation energy (no corrections): 0.059 eV/atom
! final energy: -22.602 eV/atom

=====

(4)
! Ba2Rh3 | Alexandria | SCAN | PBEsol geometry; values from VASP
&SYSTEM
  ibrav = 0, nat = 5, ntyp = 2
/
ATOMIC_SPECIES
Rh 102.91 Rh.upf
Ba 137.33 Ba.upf
ATOMIC_POSITIONS crystal
Rh 0.000 0.000 0.000
Rh 0.333 0.667 0.051
Rh 0.667 0.333 0.949
Ba 0.333 0.667 0.734
Ba 0.667 0.333 0.266
CELL_PARAMETERS angstrom
-1.191 -3.936 1.586
3.042 0.267 -3.179
6.583 0.566 6.348
! final energy: -36.217 eV/atom
! ΔE_f: -0.134 eV/atom

=====

(5)
! ScFe2P | Alexandria | SCAN | PBEsol geometry; values from VASP
&SYSTEM
  ibrav = 0, nat = 4, ntyp = 3
/
ATOMIC_SPECIES
Fe 55.84 Fe.upf
P 30.97 P.upf
Sc 44.96 Sc.upf
ATOMIC_POSITIONS crystal
Fe 0.013 0.013 0.027
Fe 0.765 0.265 0.529
P 0.475 0.475 0.950
Sc 0.247 0.747 0.494
CELL_PARAMETERS angstrom
-2.521 1.260 1.121
-2.047 -3.252 -0.948
3.130 -0.621 3.633
! final energy: -15.489 eV/atom
! ΔE_f: -0.266 eV/atom

=====

(6)
! Hg2MoF | Alexandria | SCAN | PBEsol geometry; values from VASP
&SYSTEM
  ibrav = 0, nat = 4, ntyp = 3
/
ATOMIC_SPECIES
Mo 95.94 Mo.upf
Hg 200.59 Hg.upf
F 19.00 F.upf
ATOMIC_POSITIONS crystal
Mo 0.500 0.500 0.500
Hg 0.250 0.250 0.250
Hg 0.750 0.750 0.750
F 0.000 0.000 0.000
CELL_PARAMETERS angstrom
-2.922 3.347 -1.353
-0.584 0.885 -4.522
-3.998 -1.111 -2.086
! formation energy (no corrections): 0.202 eV/atom
! final energy: -43.487 eV/atom

=====

(7)
! ReSb2As | Alexandria | SCAN | PBEsol geometry; values from VASP
&SYSTEM
  ibrav = 0, nat = 4, ntyp = 3
/
ATOMIC_SPECIES
Re 186.21 Re.upf
As 74.92 As.upf
Sb 121.76 Sb.upf
ATOMIC_POSITIONS crystal
Re 0.252 0.500 0.312
As 0.253 0.000 0.487
Sb 0.245 0.000 0.054
Sb 0.751 0.500 0.646
CELL_PARAMETERS angstrom
3.276 0.000 0.045
0.000 4.441 0.000
-0.076 0.000 6.365
! formation energy (no corrections): 0.560 eV/atom
! final energy: -40.893 eV/atom

=====

(8)
! FeSiMo | Alexandria | SCAN | PBEsol geometry; values from VASP
&SYSTEM
  ibrav = 0, nat = 3, ntyp = 3
/
ATOMIC_SPECIES
Mo 95.94 Mo.upf
Si 28.09 Si.upf
Fe 55.84 Fe.upf
ATOMIC_POSITIONS crystal
Mo 0.335 0.335 0.671
Si 0.648 0.648 0.296
Fe 0.017 0.017 0.033
CELL_PARAMETERS angstrom
-0.668 -1.576 -2.162
-0.275 -2.176 1.671
-4.109 2.944 0.882
! formation energy (no corrections): -0.200 eV/atom
! final energy: -21.210 eV/atom

=====

(9)
! Mg2MnCr3S8 | Alexandria | SCAN | PBEsol geometry; values from VASP
&SYSTEM
  ibrav = 0, nat = 14, ntyp = 4
/
ATOMIC_SPECIES
Mg 24.30 Mg.upf
Mn 54.94 Mn.upf
Cr 52.00 Cr.upf
S 32.06 S.upf
ATOMIC_POSITIONS crystal
Mg 0.876 0.876 0.876
Mg 0.124 0.124 0.124
Mn 0.500 0.500 0.500
Cr 0.500 0.500 0.000
Cr 0.000 0.500 0.500
Cr 0.500 0.000 0.500
S 0.737 0.737 0.737
S 0.263 0.263 0.709
S 0.263 0.709 0.263
S 0.709 0.263 0.263
S 0.737 0.291 0.737
S 0.291 0.737 0.737
S 0.263 0.263 0.263
S 0.737 0.737 0.291
CELL_PARAMETERS angstrom
7.093 -0.015 -0.011
3.517 6.159 -0.011
3.517 2.037 5.813
! formation energy (no corrections): -1.243 eV/atom
! final energy: -12.699 eV/atom

=====

(10)
! ZnCu | Alexandria | SCAN | PBEsol geometry; values from VASP
&SYSTEM
  ibrav = 0, nat = 4, ntyp = 2
/
ATOMIC_SPECIES
Cu 63.55 Cu.upf
Zn 65.41 Zn.upf
ATOMIC_POSITIONS crystal
Cu 0.667 0.333 0.750
Cu 0.333 0.667 0.250
Zn 0.000 0.000 0.000
Zn 0.000 0.000 0.500
CELL_PARAMETERS angstrom
-0.802 3.473 -0.647
-2.464 -2.174 1.525
1.763 1.277 4.669
! final energy: -14.060 eV/atom
! ΔE_f: 0.297 eV/atom

=====

(11)
! GeBi4Te7 | Alexandria | SCAN | PBEsol geometry; values from VASP
&SYSTEM
  ibrav = 0, nat = 12, ntyp = 3
/
ATOMIC_SPECIES
Ge 72.64 Ge.upf
Bi 208.98 Bi.upf
Te 127.60 Te.upf
ATOMIC_POSITIONS crystal
Ge 0.000 0.000 0.000
Bi 0.667 0.333 0.155
Bi 0.333 0.667 0.586
Bi 0.667 0.333 0.414
Bi 0.333 0.667 0.845
Te 0.333 0.667 0.068
Te 0.000 0.000 0.500
Te 0.000 0.000 0.229
Te 0.000 0.000 0.771
Te 0.667 0.333 0.932
Te 0.667 0.333 0.660
Te 0.333 0.667 0.340
CELL_PARAMETERS angstrom
-3.177 1.102 -2.749
0.852 -4.190 0.766
-15.457 0.132 17.919
! formation energy (no corrections): -0.142 eV/atom
! final energy: -49.656 eV/atom

=====

(12)
! Ca3Cd2Ga4 | Alexandria | SCAN | PBEsol geometry; values from VASP
&SYSTEM
  ibrav = 0, nat = 18, ntyp = 3
/
ATOMIC_SPECIES
Ca 40.08 Ca.upf
Cd 112.41 Cd.upf
Ga 69.72 Ga.upf
ATOMIC_POSITIONS crystal
Ca 0.274 0.212 0.240
Ca 0.613 0.206 0.568
Ca 0.950 0.202 0.897
Ca 0.054 0.794 0.098
Ca 0.384 0.799 0.432
Ca 0.722 0.793 0.762
Cd 0.750 0.398 0.101
Cd 0.088 0.396 0.428
Cd 0.427 0.389 0.756
Cd 0.381 0.205 0.033
Ga 0.708 0.215 0.369
Ga 0.048 0.207 0.698
Ga 0.569 0.614 0.249
Ga 0.909 0.605 0.578
Ga 0.244 0.609 0.904
Ga 0.952 0.799 0.298
Ga 0.291 0.791 0.628
Ga 0.636 0.768 0.960
CELL_PARAMETERS angstrom
-2.020 3.146 2.579
-5.791 -0.766 0.396
0.071 -8.226 14.089
! final energy: -17.779 eV/atom
! ΔE_f: -0.534 eV/atom

=====

(13)
! SrLaHg2Pd | Alexandria | SCAN | PBEsol geometry; values from VASP
&SYSTEM
  ibrav = 0, nat = 5, ntyp = 4
/
ATOMIC_SPECIES
Sr 87.62 Sr.upf
Hg 200.59 Hg.upf
Pd 106.42 Pd.upf
La 138.91 La.upf
ATOMIC_POSITIONS crystal
Sr 0.000 0.000 0.500
Hg 0.000 0.500 0.000
Hg 0.500 0.000 0.000
Pd 0.500 0.500 0.500
La 0.000 0.000 0.000
CELL_PARAMETERS angstrom
5.602 0.000 0.000
0.000 5.602 0.000
0.000 0.000 6.504
! final energy: -46.034 eV/atom
! ΔE_f: 0.864 eV/atom

=====

(14)
! AlPdPtSe2 | Alexandria | SCAN | PBEsol geometry; values from VASP
&SYSTEM
  ibrav = 0, nat = 5, ntyp = 4
/
ATOMIC_SPECIES
Se 78.96 Se.upf
Pd 106.42 Pd.upf
Pt 195.08 Pt.upf
Al 26.98 Al.upf
ATOMIC_POSITIONS crystal
Se 0.000 0.000 0.500
Se 0.000 0.500 0.000
Pd 0.500 0.500 0.500
Pt 0.000 0.000 0.000
Al 0.500 0.000 0.000
CELL_PARAMETERS angstrom
4.593 0.000 0.000
0.000 4.951 0.000
0.000 0.000 4.951
! formation energy (no corrections): 0.440 eV/atom
! final energy: -29.735 eV/atom

=====

(15)
! Li2Co2Sb | Alexandria | SCAN | PBEsol geometry; values from VASP
&SYSTEM
  ibrav = 0, nat = 10, ntyp = 3
/
ATOMIC_SPECIES
Sb 121.76 Sb.upf
Co 58.93 Co.upf
Li 6.94 Li.upf
ATOMIC_POSITIONS crystal
Sb 0.000 0.000 0.000
Sb 0.000 0.500 0.500
Co 0.000 0.373 0.873
Co 0.000 0.873 0.627
Co 0.000 0.627 0.127
Co 0.000 0.127 0.373
Li 0.500 0.165 0.665
Li 0.500 0.665 0.835
Li 0.500 0.835 0.335
Li 0.500 0.335 0.165
CELL_PARAMETERS angstrom
-0.711 -3.172 2.585
-3.116 -2.831 -4.330
5.069 -2.681 -1.896
! formation energy (no corrections): 0.165 eV/atom
! final energy: -15.165 eV/atom

=====

(16)
! Co2Bi2Sb | Alexandria | SCAN | PBEsol geometry; values from VASP
&SYSTEM
  ibrav = 0, nat = 10, ntyp = 3
/
ATOMIC_SPECIES
Sb 121.76 Sb.upf
Co 58.93 Co.upf
Bi 208.98 Bi.upf
ATOMIC_POSITIONS crystal
Sb 0.000 0.000 0.000
Sb 0.000 0.500 0.500
Co 0.500 0.093 0.593
Co 0.500 0.593 0.907
Co 0.500 0.907 0.407
Co 0.500 0.407 0.093
Bi 0.000 0.326 0.826
Bi 0.000 0.826 0.674
Bi 0.000 0.674 0.174
Bi 0.000 0.174 0.326
CELL_PARAMETERS angstrom
-1.021 0.529 2.928
-7.342 -3.522 -1.924
2.954 -7.458 2.378
! formation energy (no corrections): 0.646 eV/atom
! final energy: -45.159 eV/atom

=====

(17)
! MgNCl2 | Alexandria | SCAN | PBEsol geometry; values from VASP
&SYSTEM
  ibrav = 0, nat = 4, ntyp = 3
/
ATOMIC_SPECIES
Mg 24.30 Mg.upf
N 14.01 N.upf
Cl 35.45 Cl.upf
ATOMIC_POSITIONS crystal
Mg 0.000 0.000 0.000
N 0.500 0.500 0.500
Cl 0.756 0.756 0.732
Cl 0.244 0.244 0.268
CELL_PARAMETERS angstrom
-2.761 -3.826 -0.663
-0.402 -1.925 -4.340
1.670 -4.000 -0.996
! formation energy (no corrections): -0.035 eV/atom
! final energy: -7.590 eV/atom

=====

(18)
! Mg2CrRu | Alexandria | SCAN | PBEsol geometry; values from VASP
&SYSTEM
  ibrav = 0, nat = 4, ntyp = 3
/
ATOMIC_SPECIES
Cr 52.00 Cr.upf
Mg 24.30 Mg.upf
Ru 101.07 Ru.upf
ATOMIC_POSITIONS crystal
Cr 0.500 0.500 0.500
Mg 0.000 0.000 0.751
Mg 0.000 0.000 0.249
Ru 0.500 0.500 0.000
CELL_PARAMETERS angstrom
2.631 0.000 0.000
0.000 2.631 0.000
0.000 0.000 8.583
! final energy: -15.351 eV/atom
! ΔE_f: 0.439 eV/atom

=====

(19)
! MoW2Br | Alexandria | SCAN | PBEsol geometry; values from VASP
&SYSTEM
  ibrav = 0, nat = 4, ntyp = 3
/
ATOMIC_SPECIES
Mo 95.94 Mo.upf
Br 79.90 Br.upf
W 183.84 W.upf
ATOMIC_POSITIONS crystal
Mo 0.000 0.000 0.500
Br 0.500 0.500 0.500
W 0.000 0.500 0.000
W 0.500 0.000 0.000
CELL_PARAMETERS angstrom
-2.203 3.023 0.002
-2.982 -2.174 -0.609
-0.610 -0.447 4.584
! formation energy (no corrections): 1.480 eV/atom
! final energy: -46.950 eV/atom

=====

(20)
! Sr2ZrZn | Alexandria | SCAN | PBEsol geometry; values from VASP
&SYSTEM
  ibrav = 0, nat = 4, ntyp = 3
/
ATOMIC_SPECIES
Sr 87.62 Sr.upf
Zn 65.41 Zn.upf
Zr 91.22 Zr.upf
ATOMIC_POSITIONS crystal
Sr 0.000 0.000 0.500
Sr 0.000 0.500 0.000
Zn 0.500 0.500 0.500
Zr 0.500 0.000 0.000
CELL_PARAMETERS angstrom
-0.264 2.566 -2.375
-5.879 -0.156 0.484
2.114 3.858 3.933
! final energy: -21.726 eV/atom
! ΔE_f: 0.465 eV/atom

=====

(21)
! K2Cr2P3O12 | Alexandria | SCAN | PBEsol geometry; values from VASP
&SYSTEM
  ibrav = 0, nat = 76, ntyp = 4
/
ATOMIC_SPECIES
K 39.10 K.upf
Cr 52.00 Cr.upf
P 30.97 P.upf
O 16.00 O.upf
ATOMIC_POSITIONS crystal
K 0.817 0.817 0.817
K 0.683 0.183 0.317
K 0.183 0.317 0.683
K 0.317 0.683 0.183
K 0.042 0.042 0.042
K 0.458 0.958 0.542
K 0.958 0.542 0.458
K 0.542 0.458 0.958
Cr 0.338 0.338 0.338
Cr 0.162 0.662 0.838
Cr 0.662 0.838 0.162
Cr 0.838 0.162 0.662
Cr 0.607 0.607 0.607
Cr 0.893 0.393 0.107
Cr 0.393 0.107 0.893
Cr 0.107 0.893 0.393
P 0.027 0.206 0.378
P 0.473 0.794 0.878
P 0.973 0.706 0.122
P 0.378 0.027 0.206
P 0.527 0.294 0.622
P 0.878 0.473 0.794
P 0.122 0.973 0.706
P 0.622 0.527 0.294
P 0.206 0.378 0.027
P 0.706 0.122 0.973
P 0.294 0.622 0.527
P 0.794 0.878 0.473
O 0.013 0.055 0.328
O 0.487 0.945 0.828
O 0.987 0.555 0.172
O 0.328 0.013 0.055
O 0.513 0.445 0.672
O 0.828 0.487 0.945
O 0.172 0.987 0.555
O 0.672 0.513 0.445
O 0.055 0.328 0.013
O 0.555 0.172 0.987
O 0.445 0.672 0.513
O 0.945 0.828 0.487
O 0.179 0.243 0.400
O 0.321 0.757 0.900
O 0.821 0.743 0.100
O 0.400 0.179 0.243
O 0.679 0.257 0.600
O 0.900 0.321 0.757
O 0.100 0.821 0.743
O 0.600 0.679 0.257
O 0.243 0.400 0.179
O 0.743 0.100 0.821
O 0.257 0.600 0.679
O 0.757 0.900 0.321
O 0.047 0.799 0.226
O 0.453 0.201 0.726
O 0.953 0.299 0.274
O 0.226 0.047 0.799
O 0.547 0.701 0.774
O 0.726 0.453 0.201
O 0.274 0.953 0.299
O 0.774 0.547 0.701
O 0.799 0.226 0.047
O 0.299 0.274 0.953
O 0.701 0.774 0.547
O 0.201 0.726 0.453
O 0.269 0.484 0.453
O 0.231 0.516 0.953
O 0.731 0.984 0.047
O 0.453 0.269 0.484
O 0.769 0.016 0.547
O 0.953 0.231 0.516
O 0.047 0.731 0.984
O 0.547 0.769 0.016
O 0.484 0.453 0.269
O 0.984 0.047 0.731
O 0.016 0.547 0.769
O 0.516 0.953 0.231
CELL_PARAMETERS angstrom
-5.468 -5.850 -5.498
6.383 0.866 -7.270
4.868 -7.705 3.357
! formation energy (no corrections): -2.519 eV/atom
! final energy: -10.909 eV/atom

=====

(22)
! TiSi3Ge | Alexandria | SCAN | PBEsol geometry; values from VASP
&SYSTEM
  ibrav = 0, nat = 5, ntyp = 3
/
ATOMIC_SPECIES
Ge 72.64 Ge.upf
Si 28.09 Si.upf
Ti 47.87 Ti.upf
ATOMIC_POSITIONS crystal
Ge 0.000 0.000 0.000
Si 0.000 0.500 0.000
Si 0.000 0.000 0.500
Si 0.500 0.000 0.000
Ti 0.500 0.500 0.500
CELL_PARAMETERS angstrom
4.657 0.000 0.000
0.000 4.657 0.000
0.000 0.000 4.657
! formation energy (no corrections): 1.203 eV/atom
! final energy: -11.830 eV/atom

=====

(23)
! PrGaNi | Alexandria | SCAN | PBEsol geometry; values from VASP
&SYSTEM
  ibrav = 0, nat = 12, ntyp = 3
/
ATOMIC_SPECIES
Pr 140.91 Pr.upf
Ga 69.72 Ga.upf
Ni 58.69 Ni.upf
ATOMIC_POSITIONS crystal
Pr 0.750 0.969 0.820
Pr 0.750 0.469 0.680
Pr 0.250 0.031 0.180
Pr 0.250 0.531 0.320
Ga 0.750 0.818 0.394
Ga 0.750 0.318 0.106
Ga 0.250 0.182 0.606
Ga 0.250 0.682 0.894
Ni 0.750 0.153 0.423
Ni 0.750 0.653 0.077
Ni 0.250 0.847 0.577
Ni 0.250 0.347 0.923
CELL_PARAMETERS angstrom
-1.568 -4.080 -1.049
3.012 -2.727 6.101
-5.686 1.313 3.393
! final energy: -25.887 eV/atom
! ΔE_f: -0.605 eV/atom